Density functional theory data (PBE-GGA) for an optimized crystal structure of CdSiTc2.

CIF file:
```
data_CdSiTc2
_chemical_formula_sum 'Cd1 Si1 Tc2'
_cell_length_a 3.0346
_cell_length_b 3.0346
_cell_length_c 6.8666
_cell_angle_alpha 90.00
_cell_angle_beta 90.00
_cell_angle_gamma 90.00
_space_group_name_H-M_alt 'P 4 m m'
_space_group_IT_number 99
loop_
_space_group_symop_operation_xyz
'x,y,z'
'-y,x,z'
'-x,-y,z'
'y,-x,z'
'-x,y,z'
'y,x,z'
'x,-y,z'
'-y,-x,z'
loop_
_atom_site_label
_atom_site_type_symbol
_atom_site_fract_x
_atom_site_fract_y
_atom_site_fract_z
Cd1 Cd 0.0000 0.0000 0.0000
Si1 Si 0.5000 0.5000 0.2949
Tc1 Tc 0.0000 0.0000 0.4751
Tc2 Tc 0.5000 0.5000 0.7128
```

Results
Density (g/cm³): 8.84
E above lowest polymorph (meV/atom): 103
N(E_F) (states/eV/f.u.): 1.66
V (Å³ per cell): 63
E_form (uncorrected) (eV/atom): 0.072
Size of the total moment (μB per cell): 0.0

***

Density functional theory data (PBE-GGA) for an optimized crystal structure of CdSiTc2.

CIF file:
```
data_CdSiTc2
_chemical_formula_sum 'Cd2 Si2 Tc4'
_cell_length_a 3.0563
_cell_length_b 4.3930
_cell_length_c 9.1684
_cell_angle_alpha 90.00
_cell_angle_beta 90.00
_cell_angle_gamma 90.00
_space_group_name_H-M_alt 'I m m 2'
_space_group_IT_number 44
loop_
_space_group_symop_operation_xyz
'x,y,z'
'-x,-y,z'
'-x,y,z'
'x,-y,z'
'x+1/2,y+1/2,z+1/2'
'-x+1/2,-y+1/2,z+1/2'
'-x+1/2,y+1/2,z+1/2'
'x+1/2,-y+1/2,z+1/2'
loop_
_atom_site_label
_atom_site_type_symbol
_atom_site_fract_x
_atom_site_fract_y
_atom_site_fract_z
Cd1 Cd 0.0000 0.0000 0.0000
Si1 Si 0.0000 0.5000 0.7613
Tc1 Tc 0.0000 0.0000 0.4722
Tc2 Tc 0.0000 0.5000 0.2208
```

Results
Density (g/cm³): 9.08
E above lowest polymorph (meV/atom): 261
N(E_F) (states/eV/f.u.): 3.13
V (Å³ per cell): 123
E_form (uncorrected) (eV/atom): 0.230
Size of the total moment (μB per cell): 0.0

***

Density functional theory data (PBE-GGA) for an optimized crystal structure of CdSi2Tc2.

CIF file:
```
data_CdSi2Tc2
_chemical_formula_sum 'Cd2 Si4 Tc4'
_cell_length_a 7.0427
_cell_length_b 7.0427
_cell_length_c 2.9779
_cell_angle_alpha 90.00
_cell_angle_beta 90.00
_cell_angle_gamma 90.00
_space_group_name_H-M_alt 'P 4/m b m'
_space_group_IT_number 127
_space_group_name_Hall '-P 4 2ab'
loop_
_atom_site_label
_atom_site_type_symbol
_atom_site_fract_x
_atom_site_fract_y
_atom_site_fract_z
Cd1 Cd 0.0000 0.0000 0.0000
Si1 Si 0.1347 0.3653 0.0000
Tc1 Tc 0.1547 0.6547 0.5000
```

Results
Density (g/cm³): 8.20
E above lowest polymorph (meV/atom): 0
N(E_F) (states/eV/f.u.): 3.58
V (Å³ per cell): 148
E_form (uncorrected) (eV/atom): -0.172
Size of the total moment (μB per cell): 0.0